[1]
4
Lattice="0.000 3.813 3.813 3.813 0.000 3.813 3.813 3.813 0.000" Properties=species:S:1:pos:R:3 comment="BaReCl2, relaxed, DFT GGA-PBE" raw_formation_energy_ev_per_atom=0.0495 e_above_lowest_polymorph_ev_per_atom=0.194 m_tot_mub_per_fu=5.00 space_group=Fm-3m pbc="T T T"
Ba 0.000 0.000 0.000
Re 3.813 3.813 3.813
Cl 1.907 1.907 1.907
Cl 5.720 5.720 5.720

[2]
4
Lattice="2.190 1.265 8.639 -2.190 1.265 8.639 0.000 -2.529 8.639" Properties=species:S:1:pos:R:3 comment="Ba2CuTc, relaxed, DFT GGA-PBE" e_above_lowest_polymorph_ev_per_atom=0.000 m_tot_mub_per_fu=1.76 space_group=R3m e_form_ev_per_atom=0.412 pbc="T T T"
Ba 0.000 0.000 0.000
Ba 0.000 0.000 4.380
Cu 0.000 0.000 19.473
Tc 0.000 0.000 10.824